DFT (PBE-GGA) results for a relaxed PrY2Mg3Ir2Pt crystal.

## Properties
VASP energy: -5.869 eV/atom
Magnetization: 0.009 μB per cell

a b c (Å): 4.0699 12.8035 7.3986
angles (deg): 90.00 90.00 90.00
Space group Amm2 (No. 38)
Unique sites:
Pr: 0.0000 0.0000 0.0000
Y: 0.0000 0.2061 0.6219
Mg: 0.5000 0.0000 0.6593
Mg: 0.5000 0.1248 0.2951
Ir: 0.5000 0.1700 0.9150
Pt: 0.0000 0.0000 0.4215


DFT (PBE-GGA) results for a relaxed TbPr2Mg3Ir3 crystal.

## Properties
VASP energy: -5.652 eV/atom
Magnetization: 0.014 μB per cell

a b c (Å): 4.1350 12.7945 7.4014
angles (deg): 90.00 90.00 90.00
Space group Amm2 (No. 38)
Unique sites:
Tb: 0.0000 0.0000 0.0000
Pr: 0.0000 0.2062 0.3861
Mg: 0.5000 0.0000 0.3496
Mg: 0.5000 0.1195 0.7154
Ir: 0.0000 0.0000 0.5984
Ir: 0.5000 0.1615 0.0909


DFT (PBE-GGA) results for a relaxed Pr3Mg3Tl2Ir crystal.

## Properties
VASP energy: -4.021 eV/atom
Magnetization: 0.071 μB per cell

a b c (Å): 7.6455 7.6455 4.6357
angles (deg): 90.00 90.00 120.00
Space group P-62m (No. 189)
Unique sites:
Pr: 0.0000 0.6119 0.0000
Mg: 0.0000 0.2254 0.5000
Tl: 0.3333 0.6667 0.5000
Ir: 0.0000 0.0000 0.0000


DFT (PBE-GGA) results for a relaxed Pr3Mg3TlIr2 crystal.

## Properties
VASP energy: -4.777 eV/atom
Magnetization: 0.002 μB per cell

a b c (Å): 7.5935 7.5935 4.3098
angles (deg): 90.00 90.00 120.00
Space group P-62m (No. 189)
Unique sites:
Pr: 0.0000 0.5728 0.0000
Mg: 0.0000 0.2581 0.5000
Tl: 0.0000 0.0000 0.0000
Ir: 0.3333 0.6667 0.5000


DFT (PBE-GGA) results for a relaxed Pr2TmMg3Ir3 crystal.

## Properties
VASP energy: -5.643 eV/atom
Magnetization: 0.016 μB per cell

a b c (Å): 4.1275 12.7235 7.3797
angles (deg): 90.00 90.00 90.00
Space group Amm2 (No. 38)
Unique sites:
Pr: 0.0000 0.2069 0.0000
Tm: 0.0000 0.0000 0.6125
Mg: 0.5000 0.0000 0.9640
Mg: 0.5000 0.1195 0.3303
Ir: 0.0000 0.0000 0.2158
Ir: 0.5000 0.1586 0.7045


DFT (PBE-GGA) results for a relaxed Pr3Mg3Zn2Ir crystal.

## Properties
VASP energy: -3.714 eV/atom
Magnetization: 0.031 μB per cell

a b c (Å): 7.3890 7.3890 4.5647
angles (deg): 90.00 90.00 120.00
Space group P-62m (No. 189)
Unique sites:
Pr: 0.0000 0.5958 0.0000
Mg: 0.0000 0.2307 0.5000
Zn: 0.3333 0.6667 0.5000
Ir: 0.0000 0.0000 0.0000


DFT (PBE-GGA) results for a relaxed Mg4Si2IrPt crystal.

## Properties
VASP energy: -4.616 eV/atom
Magnetization: 0.013 μB per cell

a b c (Å): 4.2508 4.2508 8.6841
angles (deg): 90.00 90.00 120.00
Space group P-6m2 (No. 187)
Unique sites:
Mg: 0.0000 0.0000 0.1624
Mg: 0.3333 0.6667 0.3308
Si: 0.6667 0.3333 0.0000
Si: 0.6667 0.3333 0.5000
Ir: 0.3333 0.6667 0.0000
Pt: 0.0000 0.0000 0.5000


DFT (PBE-GGA) results for a relaxed Sm3Mg3IrPt2 crystal.

## Properties
VASP energy: -5.243 eV/atom
Magnetization: 0.024 μB per cell

a b c (Å): 7.4323 7.4323 4.1490
angles (deg): 90.00 90.00 120.00
Space group P-62m (No. 189)
Unique sites:
Sm: 0.0000 0.5936 0.0000
Mg: 0.0000 0.2400 0.5000
Ir: 0.0000 0.0000 0.0000
Pt: 0.3333 0.6667 0.5000